1.
Material: LaNiBr2
Method: DFT, PBE-GGA
State: relaxed

The structure belongs to space group Cm (No. 8); the cell edges are 15.197, 3.840 and 4.271 Å and the angles 90.00°, 105.88° and 90.00°. The distinct sites, in fractional coordinates, are La at (0.000, 0.000, 0.000), Ni at (0.376, 0.000, 0.953), Br at (0.100, 0.500, 0.598) and Br at (0.353, 0.500, 0.355).

For the calculated total energy, the calculation gives -4.3651 eV/atom. The density of states at the Fermi level is 1.663 states/eV/f.u. Its raw formation energy is -0.852 eV per atom.

***

2.
Material: Te2PSI
Method: DFT, PBE-GGA
State: relaxed

The structure belongs to space group P4/mmm (No. 123); the cell edges are 5.307, 5.307 and 5.195 Å and the angles 90.00°, 90.00° and 90.00°. The distinct sites, in fractional coordinates, are Te at (0.000, 0.500, 0.000), P at (0.000, 0.000, 0.000), S at (0.500, 0.500, 0.500) and I at (0.000, 0.000, 0.500).

For the calculated total energy, the calculation gives -2.6873 eV/atom. The density of states at the Fermi level is 3.496 states/eV/f.u. Its raw formation energy is 0.787 eV per atom.

***

3.
Material: V2ReSnH
Method: DFT, PBE-GGA
State: relaxed

The structure belongs to space group P4/mmm (No. 123); the cell edges are 3.999, 3.999 and 4.002 Å and the angles 90.00°, 90.00° and 90.00°. The distinct sites, in fractional coordinates, are V at (0.000, 0.500, 0.000), Re at (0.000, 0.000, 0.500), Sn at (0.500, 0.500, 0.500) and H at (0.000, 0.000, 0.000).

For the calculated total energy, the calculation gives -7.5306 eV/atom. The density of states at the Fermi level is 4.781 states/eV/f.u.

***

Offset from the most stable computed form: 64.8; 0.0; 0.0 (meV/atom)